Entry from Alexandria via LeMat-Bulk: a relaxed structure of ZnInIO2 (PBE-GGA). Values from VASP.

Quantum ESPRESSO input file:
```
&SYSTEM
  ibrav = 0, nat = 5, ntyp = 4
/
ATOMIC_SPECIES
I 126.90 I.upf
Zn 65.41 Zn.upf
O 16.00 O.upf
In 114.82 In.upf
CELL_PARAMETERS angstrom
4.118 0.000 0.000
0.000 4.118 0.000
0.000 0.000 5.638
ATOMIC_POSITIONS crystal
I 0.000 0.000 0.500
Zn 0.000 0.000 0.000
O 0.000 0.500 0.000
O 0.500 0.000 0.000
In 0.500 0.500 0.500
```

Calculated values
- volume (A^3/atom) = 19.12
- raw formation energy (eV per formula unit) = -0.13
- uncorrected energy (eV per cell) = -15.6
- energy above the most stable polymorph in this dataset (meV per atom) = 267.3